Computed, not measured: a relaxed structure of CdIn2Ga at the GGA-PBE level of DFT.

Cell lengths 4.4257, 4.4257, 6.6996 Å; angles 70.71, 70.71, 60.00 degrees
Positions (direct):
In: 0.0729 0.0729 0.7814
In: 0.2622 0.2622 0.2133
Ga: 0.6660 0.6660 0.0021
Cd: 0.4989 0.4989 0.5032

Properties
DFT total energy	-2.27	eV per atom
total magnetic moment	0.0	μB/cell